Entry 1:
The following is a DFT calculation (SCAN) of Zn2TeAs at its PBEsol-relaxed geometry.

Cell lengths 3.8085, 3.8358, 5.5481 Å; angles 90.00, 90.00, 90.00 degrees
Last column: nearest neighbours and their distance in Å.
Atoms (fractional coordinates):
Zn  0.0000  0.0000  0.0000  4 As 2.70
Te  0.5000  0.0000  0.5000  4 Zn 2.70
Zn  0.0000  0.5000  0.5000  4 Te 2.70
As  0.5000  0.5000  0.0000  4 Zn 2.70

Relative energy among the computed polymorphs = 0.0743 eV per atom
Space-group type = Pmmm, No. 47
Spin magnetization = 0.00 μB/cell
Energy = -20.83 eV per atom

Entry 2:
The following is a DFT calculation (SCAN) of CsSbCl3 at its PBEsol-relaxed geometry.

Cell lengths 5.4708, 5.4708, 5.4708 Å; angles 90.00, 90.00, 90.00 degrees
Last column: nearest neighbours and their distance in Å.
Atoms (fractional coordinates):
Cs  0.5000  0.5000  0.5000  12 Cl 3.87
Cl  0.0000  0.5000  0.0000  2 Sb 2.74
Cl  0.0000  0.0000  0.5000  2 Sb 2.74
Sb  0.0000  0.0000  0.0000  6 Cl 2.74
Cl  0.5000  0.0000  0.0000  2 Sb 2.74

Space-group type = Pm-3m, No. 221
Spin magnetization = 0.00 μB/cell
Energy = -21.05 eV per atom

Entry 3:
The following is a DFT calculation (SCAN) of K2NaInSb2 at its PBEsol-relaxed geometry.

Cell lengths 6.9598, 10.7426, 10.7426 Å; angles 98.97, 90.00, 90.00 degrees
Last column: nearest neighbours and their distance in Å.
Atoms (fractional coordinates):
In  0.5000  0.3675  0.3675  4 Sb 2.91-2.95
Sb  0.2957  0.3936  0.6064  2 In 2.91, 2 Na 3.16
In  0.0000  0.8675  0.8675  4 Sb 2.91-2.95
K  0.2500  0.0771  0.4229  5 Sb 3.61-3.67, 2 In 3.70, 2 Na 3.79
Sb  0.7043  0.6064  0.3936  2 In 2.91, 2 Na 3.16
K  0.2203  0.6731  0.3269  5 Sb 3.54-3.75, 2 Na 3.61, 2 In 3.90
Sb  0.7957  0.1064  0.8936  2 In 2.91, 2 Na 3.16
Na  0.5000  0.8821  0.8821  4 Sb 3.07-3.16, 1 Na 3.29
K  0.2500  0.5771  0.9229  5 Sb 3.61-3.67, 2 In 3.70, 2 Na 3.79
K  0.2797  0.1731  0.8269  5 Sb 3.54-3.75, 2 Na 3.61, 2 In 3.90
Sb  0.7500  0.6440  0.8560  2 In 2.95, 2 Na 3.07
Sb  0.2500  0.3560  0.1440  2 In 2.95, 2 Na 3.07
K  0.7500  0.9229  0.5771  5 Sb 3.61-3.67, 2 In 3.70, 2 Na 3.79
Na  0.0000  0.6179  0.6179  4 Sb 3.07-3.16, 1 Na 3.29
In  0.0000  0.1325  0.1325  4 Sb 2.91-2.95
Sb  0.2500  0.8560  0.6440  2 In 2.95, 2 Na 3.07
K  0.7203  0.8269  0.1731  5 Sb 3.54-3.75, 2 Na 3.61, 2 In 3.90
In  0.5000  0.6325  0.6325  4 Sb 2.91-2.95
K  0.7500  0.4229  0.0771  5 Sb 3.61-3.67, 2 In 3.70, 2 Na 3.79
Na  0.0000  0.3821  0.3821  4 Sb 3.07-3.16, 1 Na 3.29
Na  0.5000  0.1179  0.1179  4 Sb 3.07-3.16, 1 Na 3.29
Sb  0.7500  0.1440  0.3560  2 In 2.95, 2 Na 3.07
Sb  0.2043  0.8936  0.1064  2 In 2.91, 2 Na 3.16
K  0.7797  0.3269  0.6731  5 Sb 3.54-3.75, 2 Na 3.61, 2 In 3.90

Space-group type = Cmce, No. 64
Spin magnetization = 0.00 μB/cell
Energy = -22.03 eV per atom

Entry 4:
The following is a DFT calculation (SCAN) of Ni3C4 at its PBEsol-relaxed geometry.

Cell lengths 3.9332, 3.9332, 3.9332 Å; angles 90.00, 90.00, 90.00 degrees
Last column: nearest neighbours and their distance in Å.
Atoms (fractional coordinates):
Ni  0.5000  0.0000  0.0000  6 C 1.97
C  0.0000  0.0000  0.0000  6 Ni 1.97
C  0.5000  0.5000  0.0000  4 Ni 1.97
C  0.0000  0.5000  0.5000  4 Ni 1.97
Ni  0.0000  0.0000  0.5000  6 C 1.97
C  0.5000  0.0000  0.5000  4 Ni 1.97
Ni  0.0000  0.5000  0.0000  6 C 1.97

Space-group type = Pm-3m, No. 221
Spin magnetization = 0.90 μB/cell
Energy = -11.14 eV per atom
ΔE_f = 1558 meV/atom

Entry 5:
The following is a DFT calculation (SCAN) of TlCoCu2 at its PBEsol-relaxed geometry.

Cell lengths 2.7888, 4.4636, 5.2140 Å; angles 114.67, 104.50, 92.28 degrees
Last column: nearest neighbours and their distance in Å.
Atoms (fractional coordinates):
Tl  0.5000  0.0000  0.0000  4 Co 2.58-2.68, 4 Cu 2.63, 2 Tl 2.79
Cu  0.5000  0.5000  0.5000  6 Cu 2.58-2.79, 2 Tl 2.63, 2 Co 2.63
Cu  0.0000  0.0000  0.5000  6 Cu 2.58-2.79, 2 Co 2.63, 2 Tl 2.63
Co  0.0000  0.5000  0.0000  4 Tl 2.58-2.68, 4 Cu 2.63, 2 Co 2.79

Relative energy among the computed polymorphs = 0.0157 eV per atom
Space-group type = C2/m, No. 12
Spin magnetization = 1.69 μB/cell
Energy = -29.55 eV per atom
ΔE_f = 461 meV/atom

Entry 6:
The following is a DFT calculation (SCAN) of YCl2 at its PBEsol-relaxed geometry.

Cell lengths 3.6189, 6.7301, 6.8889 Å; angles 64.25, 74.77, 74.40 degrees
Last column: nearest neighbours and their distance in Å.
Atoms (fractional coordinates):
Cl  0.3825  0.5715  0.6635  4 Y 2.77-2.80
Y  0.7224  0.5704  0.9848  7 Cl 2.67-2.81
Cl  0.0427  0.7496  0.1651  3 Y 2.67
Y  0.0733  0.3518  0.5015  6 Cl 2.65-2.77
Cl  0.6444  0.0214  0.6899  3 Y 2.71-2.81
Cl  0.3015  0.2353  0.1617  3 Y 2.65-2.72

Space-group type = Cm, No. 8
Spin magnetization = 0.01 μB/cell
Energy = -16.83 eV per atom

Entry 7:
The following is a DFT calculation (SCAN) of GaCBrCl2 at its PBEsol-relaxed geometry.

Cell lengths 3.7363, 5.7091, 5.7091 Å; angles 90.00, 90.00, 90.00 degrees
Last column: nearest neighbours and their distance in Å.
Atoms (fractional coordinates):
C  0.5000  0.0000  0.0000  2 Br 1.87
Ga  0.5000  0.5000  0.5000  8 Cl 3.41, 2 Ga 3.74
Cl  0.0000  0.0000  0.5000  2 Br 2.85
Cl  0.0000  0.5000  0.0000  2 Br 2.85
Br  0.0000  0.0000  0.0000  2 C 1.87

Space-group type = P4/mmm, No. 123
Spin magnetization = 0.00 μB/cell
Energy = -11.25 eV per atom

Entry 8:
The following is a DFT calculation (SCAN) of BeOs2 at its PBEsol-relaxed geometry.

Cell lengths 2.7272, 4.6337, 6.4583 Å; angles 70.25, 77.81, 72.89 degrees
Last column: nearest neighbours and their distance in Å.
Atoms (fractional coordinates):
Os  0.1562  0.2656  0.4220  2 Be 2.48, 10 Os 2.55-2.77
Os  0.5048  0.1991  0.7913  5 Be 2.45-2.58, 7 Os 2.64-2.73
Os  0.8438  0.7344  0.5780  2 Be 2.48, 10 Os 2.55-2.77
Os  0.4952  0.8009  0.2087  5 Be 2.45-2.58, 7 Os 2.64-2.73
Be  0.8100  0.2900  0.0900  2 Be 2.32, 7 Os 2.45-2.58
Be  0.1900  0.7100  0.9100  2 Be 2.32, 7 Os 2.45-2.58

Space-group type = C2/m, No. 12
Spin magnetization = 0.00 μB/cell
Energy = -49.42 eV per atom
ΔE_f = -51 meV/atom

Entry 9:
The following is a DFT calculation (SCAN) of LiScAg3 at its PBEsol-relaxed geometry.

Cell lengths 5.1275, 5.1275, 5.1275 Å; angles 90.00, 90.00, 90.00 degrees
Last column: nearest neighbours and their distance in Å.
Atoms (fractional coordinates):
Ag  0.0000  0.0000  0.5000  2 Sc 2.56
Ag  0.5000  0.0000  0.0000  2 Sc 2.56
Li  0.5000  0.5000  0.5000  12 Ag 3.63
Sc  0.0000  0.0000  0.0000  6 Ag 2.56
Ag  0.0000  0.5000  0.0000  2 Sc 2.56

Space-group type = Pm-3m, No. 221
Spin magnetization = 0.00 μB/cell
Energy = -21.44 eV per atom
ΔE_f = 710 meV/atom

Entry 10:
The following is a DFT calculation (SCAN) of Sc2Si2Os at its PBEsol-relaxed geometry.

Cell lengths 3.9752, 6.3552, 6.3552 Å; angles 90.00, 90.00, 90.00 degrees
Last column: nearest neighbours and their distance in Å.
Atoms (fractional coordinates):
Si  0.0000  0.8677  0.6323  1 Si 2.38, 2 Os 2.48, 2 Sc 2.64
Os  0.0000  0.0000  0.0000  4 Si 2.48
Os  0.0000  0.5000  0.5000  4 Si 2.48
Si  0.0000  0.1323  0.3677  1 Si 2.38, 2 Os 2.48, 2 Sc 2.64
Sc  0.5000  0.6738  0.8262  6 Si 2.64-2.79
Si  0.0000  0.3677  0.8677  1 Si 2.38, 2 Os 2.48, 2 Sc 2.64
Si  0.0000  0.6323  0.1323  1 Si 2.38, 2 Os 2.48, 2 Sc 2.64
Sc  0.5000  0.1738  0.6738  6 Si 2.64-2.79
Sc  0.5000  0.3262  0.1738  6 Si 2.64-2.79
Sc  0.5000  0.8262  0.3262  6 Si 2.64-2.79

Space-group type = P4/mbm, No. 127
Spin magnetization = 0.00 μB/cell
Energy = -24.96 eV per atom

Entry 11:
The following is a DFT calculation (SCAN) of MnTcBr2 at its PBEsol-relaxed geometry.

Cell lengths 4.5644, 4.5644, 4.5644 Å; angles 60.00, 60.00, 60.00 degrees
Last column: nearest neighbours and their distance in Å.
Atoms (fractional coordinates):
Mn  0.0000  0.0000  0.0000  8 Br 2.80
Tc  0.5000  0.5000  0.5000  8 Br 2.80
Br  0.7500  0.7500  0.7500  4 Mn 2.80, 4 Tc 2.80
Br  0.2500  0.2500  0.2500  4 Tc 2.80, 4 Mn 2.80

Relative energy among the computed polymorphs = 0.0318 eV per atom
Space-group type = Fm-3m, No. 225
Spin magnetization = 2.00 μB/cell
Energy = -22.54 eV per atom